Density functional theory data (PBE) for a relaxed NdScSi2Pt5 crystal.

The structure in extended XYZ format:
```
9
Lattice="-0.178 1.177 3.913 -2.928 -2.769 0.700 7.568 -7.355 2.557" Properties=species:S:1:pos:R:3 pbc="T T T"
Pt 1.230 -0.694 2.402
Si 3.862 -6.059 4.136
Sc 0.000 0.000 0.000
Pt 4.785 -7.457 2.461
Pt 6.160 -5.484 4.068
Pt -0.144 -2.667 0.796
Pt 2.231 -4.474 3.585
Si 0.600 -2.889 3.034
Nd 3.784 -3.678 1.278
```

Results
- DOS at the Fermi energy: 5.04 states/eV/cell
- Calculated total energy: -60.1 eV per cell
- Volume: 20.19 Å³/atom
- Uncorrected formation energy: -889 meV/atom

=====

Density functional theory data (PBE) for a relaxed Nd2ScSn3Pt4 crystal.

The structure in extended XYZ format:
```
10
Lattice="4.572 0.000 0.000 0.000 4.572 0.000 0.000 0.000 10.874" Properties=species:S:1:pos:R:3 pbc="T T T"
Pt 2.286 0.000 6.889
Nd 0.000 2.286 8.365
Pt 2.286 2.286 0.000
Nd 2.286 0.000 2.508
Pt 0.000 0.000 0.000
Sn 0.000 0.000 5.437
Pt 0.000 2.286 3.985
Sn 2.286 0.000 9.477
Sn 0.000 2.286 1.397
Sc 2.286 2.286 5.437
```

Results
- DOS at the Fermi energy: 8.13 states/eV/cell
- Calculated total energy: -61.2 eV per cell
- Volume: 22.73 Å³/atom
- Formation enthalpy at 0 K: -918 meV/atom

=====

Density functional theory data (PBE) for a relaxed NdScTlPt crystal.

The structure in extended XYZ format:
```
4
Lattice="-0.130 -3.816 3.402 4.357 -1.841 1.944 1.196 0.893 4.891" Properties=species:S:1:pos:R:3 pbc="T T T"
Sc 4.068 -3.573 7.678
Tl 2.712 -2.382 5.119
Pt 0.000 0.000 0.000
Nd 1.356 -1.191 2.559
```

Results
- DOS at the Fermi energy: 3.54 states/eV/cell
- Calculated total energy: -21.9 eV per cell
- Volume: 23.64 Å³/atom
- Formation enthalpy at 0 K: -587 meV/atom

=====

Density functional theory data (PBE) for a relaxed Nd2ScZn2Pt5 crystal.

The structure in extended XYZ format:
```
20
Lattice="-0.526 3.728 0.852 -4.339 1.387 -8.747 -8.754 -2.150 4.002" Properties=species:S:1:pos:R:3 pbc="T T T"
Nd -4.482 0.559 -5.212
Pt -7.486 0.247 3.041
Nd -3.597 -0.450 -0.251
Pt -8.896 1.127 -1.680
Zn -10.392 -1.031 -1.906
Pt -4.723 1.838 -2.213
Pt -7.146 1.907 -4.011
Zn -5.953 -1.167 1.430
Pt -4.640 0.789 2.427
Pt -6.474 1.058 0.117
Nd -9.496 -0.313 -4.495
Pt -1.720 2.013 -1.125
Pt -2.433 2.558 -3.948
Nd -8.611 -1.322 0.466
Sc -6.547 -0.382 -2.373
Zn -2.701 0.268 -2.839
Zn -7.141 0.404 -6.175
Pt -11.899 0.952 -2.768
Sc 0.000 0.000 0.000
Pt -6.133 2.718 -6.934
```

Results
- DOS at the Fermi energy: 9.36 states/eV/cell
- Calculated total energy: -115.8 eV per cell
- Volume: 18.77 Å³/atom
- Formation enthalpy at 0 K: -928 meV/atom

=====

Density functional theory data (PBE) for a relaxed NdScZnPt2 crystal.

The structure in extended XYZ format:
```
5
Lattice="-0.302 1.273 3.854 3.610 -1.681 0.839 1.195 5.552 -3.890" Properties=species:S:1:pos:R:3 pbc="T T T"
Pt 2.227 4.182 -1.207
Pt 2.275 0.963 2.009
Nd 0.000 0.000 0.000
Zn 3.229 1.834 -0.353
Sc 1.273 3.311 1.155
```

Results
- DOS at the Fermi energy: 2.92 states/eV/cell
- Calculated total energy: -29.4 eV per cell
- Volume: 20.72 Å³/atom
- Formation enthalpy at 0 K: -984 meV/atom

=====

Density functional theory data (PBE) for a relaxed Nd4PtSe5 crystal.

The structure in extended XYZ format:
```
10
Lattice="4.302 0.000 0.000 0.000 7.908 -1.332 -2.151 -2.490 9.337" Properties=species:S:1:pos:R:3 pbc="T T T"
Nd 2.151 0.619 3.666
Se 0.000 2.362 2.544
Nd 2.151 -0.509 9.004
Nd 0.000 5.927 -0.998
Pt 2.151 0.000 0.000
Se 0.000 6.514 1.845
Nd 0.000 4.799 4.340
Se 2.151 -1.095 6.161
Se 2.151 3.954 -0.666
Se 2.151 3.056 5.461
```

Results
- Calculated total energy: -58.3 eV per cell
- Volume: 30.34 Å³/atom
- Uncorrected formation energy: -1579 meV/atom

=====

Density functional theory data (PBE) for a relaxed Nd6PtSe5 crystal.

The structure in extended XYZ format:
```
12
Lattice="7.216 -0.105 -1.365 -3.893 6.077 -1.365 0.137 0.246 7.337" Properties=species:S:1:pos:R:3 pbc="T T T"
Nd 2.655 0.502 1.122
Nd 4.433 3.697 3.486
Se 3.501 1.963 -1.365
Pt 0.000 0.000 0.000
Nd 0.806 5.716 3.486
Nd -0.973 2.521 1.122
Se 5.379 1.079 2.304
Se 1.730 3.109 2.304
Se -1.918 5.140 2.304
Nd 2.545 4.574 -0.251
Se -0.177 4.010 -1.365
Nd 0.915 1.644 4.859
```

Results
- DOS at the Fermi energy: 4.74 states/eV/cell
- Calculated total energy: -73.0 eV per cell
- Volume: 26.97 Å³/atom
- Uncorrected formation energy: -1740 meV/atom

=====

Density functional theory data (PBE) for a relaxed NdPtSe2 crystal.

The structure in extended XYZ format:
```
4
Lattice="-2.668 0.645 2.619 -3.668 -0.111 -0.961 -2.338 -8.174 2.378" Properties=species:S:1:pos:R:3 pbc="T T T"
Se -2.260 -5.296 1.749
Pt -4.337 -3.820 2.018
Nd 0.000 0.000 0.000
Se -6.414 -2.344 2.287
```

Results
- DOS at the Fermi energy: 3.29 states/eV/cell
- Calculated total energy: -19.3 eV per cell
- Volume: 26.65 Å³/atom
- Uncorrected formation energy: -378 meV/atom

=====

Density functional theory data (PBE) for a relaxed Nd8Te4Pt3Se crystal.

The structure in extended XYZ format:
```
16
Lattice="-5.849 3.149 5.475 -6.571 -3.343 -5.098 6.137 -5.322 2.850" Properties=species:S:1:pos:R:3 pbc="T T T"
Nd -0.212 -2.939 1.464
Te 3.068 -2.661 1.425
Te -2.925 1.574 2.737
Te 0.000 0.000 0.000
Pt -6.210 -0.097 0.188
Te 0.144 -1.087 4.162
Nd -3.256 -0.207 0.115
Pt -3.142 -2.758 1.613
Nd -3.028 -5.309 3.112
Nd -6.102 1.325 2.779
Nd -3.117 -1.268 4.167
Nd -3.167 -4.248 -0.940
Nd -6.072 -2.578 1.763
Pt -0.217 -4.333 -1.124
Nd -0.182 -6.841 0.448
Se -3.285 -1.671 -2.549
```

Results
- DOS at the Fermi energy: 12.95 states/eV/cell
- Calculated total energy: -93.9 eV per cell
- Volume: 29.92 Å³/atom
- Uncorrected formation energy: -1348 meV/atom

=====

Density functional theory data (PBE) for a relaxed Nd4Te2PtSe crystal.

The structure in extended XYZ format:
```
8
Lattice="-3.442 -0.947 2.353 -0.787 -6.669 -3.835 3.963 -5.420 3.617" Properties=species:S:1:pos:R:3 pbc="T T T"
Te 3.963 -5.420 3.617
Te 0.261 -3.183 2.985
Nd 1.015 -6.319 2.827
Se 1.588 -6.045 -0.109
Nd -1.281 -6.717 -0.693
Pt -2.114 -3.808 -0.741
Nd 2.505 -8.969 0.054
Nd -2.770 -4.067 2.080
```

Results
- DOS at the Fermi energy: 5.09 states/eV/cell
- Calculated total energy: -46.6 eV per cell
- Volume: 29.81 Å³/atom
- Uncorrected formation energy: -1460 meV/atom

=====

Density functional theory data (PBE) for a relaxed Nd4TePtSe2 crystal.

The structure in extended XYZ format:
```
8
Lattice="-3.358 -0.695 -2.479 -4.140 -1.594 6.055 -3.196 6.366 2.546" Properties=species:S:1:pos:R:3 pbc="T T T"
Se -3.196 6.366 2.546
Se -3.277 2.836 0.033
Nd -5.086 3.876 2.192
Nd -5.507 3.462 6.489
Nd -5.188 0.616 -0.368
Te -6.945 5.222 4.333
Nd -5.608 0.202 3.929
Pt -3.668 2.386 4.300
```

Results
- DOS at the Fermi energy: 4.93 states/eV/cell
- Calculated total energy: -47.5 eV per cell
- Volume: 28.39 Å³/atom
- Uncorrected formation energy: -1529 meV/atom

=====

Density functional theory data (PBE) for a relaxed Nd8Te4PtSe3 crystal.

The structure in extended XYZ format:
```
16
Lattice="8.697 0.000 0.000 0.000 8.831 0.088 -4.348 -4.345 6.151" Properties=species:S:1:pos:R:3 pbc="T T T"
Nd -2.245 2.088 6.133
Se 2.174 2.243 3.120
Te -2.174 -2.172 3.076
Nd 0.000 4.330 2.960
Se 4.348 4.416 0.044
Nd 0.000 0.192 3.207
Nd 4.348 4.294 3.032
Nd 2.103 2.399 0.106
Se -2.174 2.243 3.120
Nd 2.245 2.088 6.133
Pt 0.000 4.416 0.044
Nd 6.593 2.399 0.106
Te 4.348 0.000 0.000
Te 2.174 -2.172 3.076
Te 0.000 0.000 0.000
Nd 4.348 0.156 3.279
```

Results
- DOS at the Fermi energy: 6.76 states/eV/cell
- Calculated total energy: -92.2 eV per cell
- Volume: 29.74 Å³/atom
- Uncorrected formation energy: -1565 meV/atom